1.
MoIrO3: optimized geometry, GGA+U.

Cell lengths 3.9330, 3.9330, 3.9330 Å; angles 90.00, 90.00, 90.00 degrees
Space group Pm-3m (No. 221)
Symmetry-distinct sites (fractional):
Mo  0.0000  0.0000  0.0000 x1
Ir  0.5000  0.5000  0.5000 x1
O  0.0000  0.5000  0.5000 x3

The value obtained for the raw total energy is -6.25 eV/atom. The calculation puts the density of states at the Fermi level at 3.41 states/eV per cell.

***

2.
MoIrO2: optimized geometry, GGA+U.

Cell lengths 2.7620, 2.7620, 20.4342 Å; angles 90.00, 90.00, 120.00 degrees
Space group R-3m (No. 166, hexagonal axes)
Symmetry-distinct sites (fractional):
Mo  0.0000  0.0000  0.0000 x3
Ir  0.0000  0.0000  0.5000 x3
O  0.0000  0.0000  0.4018 x6

The value obtained for the raw total energy is -7.14 eV/atom. The calculation puts the density of states at the Fermi level at 8.41 states/eV per cell.

***

3.
MoIrO2: optimized geometry, GGA+U.

Cell lengths 3.2658, 3.2658, 18.0462 Å; angles 90.00, 90.00, 120.00 degrees
Space group R-3m (No. 166, hexagonal axes)
Symmetry-distinct sites (fractional):
Mo  0.0000  0.0000  0.0000 x3
Ir  0.0000  0.0000  0.5000 x3
O  0.0000  0.0000  0.1182 x6

The value obtained for the raw total energy is -6.67 eV/atom. The calculation puts the density of states at the Fermi level at 2.70 states/eV per cell.

***

4.
MoIrO3: optimized geometry, GGA+U.

Cell lengths 3.9195, 3.9195, 3.9195 Å; angles 90.00, 90.00, 90.00 degrees
Space group Pm-3m (No. 221)
Symmetry-distinct sites (fractional):
Mo  0.0000  0.0000  0.0000 x1
Ir  0.5000  0.5000  0.5000 x1
O  0.0000  0.0000  0.5000 x3

The value obtained for the raw total energy is -6.18 eV/atom. The calculation puts the density of states at the Fermi level at 4.48 states/eV per cell.

***

5.
MoIr4O12: optimized geometry, GGA+U.

Cell lengths 7.6304, 7.6304, 7.2695 Å; angles 90.00, 90.00, 90.00 degrees
Space group I4/mmm (No. 139)
Symmetry-distinct sites (fractional):
Mo  0.0000  0.0000  0.0000 x2
Ir  0.2500  0.2500  0.2500 x8
O  0.0000  0.2267  0.1749 x16
O  0.1917  0.1917  0.5000 x8

The value obtained for the raw total energy is -6.72 eV/atom. The calculation puts the density of states at the Fermi level at 31.52 states/eV per cell.

***

6.
MoIrO2: optimized geometry, GGA+U.

Cell lengths 3.9126, 3.9126, 12.9941 Å; angles 90.00, 90.00, 90.00 degrees
Space group I-42d (No. 122)
Symmetry-distinct sites (fractional):
Mo  0.0000  0.0000  0.0000 x4
Ir  0.0000  0.0000  0.5000 x4
O  0.2374  0.2500  0.1250 x8

The value obtained for the raw total energy is -6.69 eV/atom. The calculation puts the density of states at the Fermi level at 6.31 states/eV per cell.

***

7.
MoIrO4: optimized geometry, GGA+U.

Cell lengths 6.5897, 6.5897, 6.4012 Å; angles 90.00, 90.00, 90.00 degrees
Space group I4_1md (No. 109)
Symmetry-distinct sites (fractional):
Mo  0.0000  0.0000  0.0000 x4
Ir  0.0000  0.0000  0.4979 x4
O  0.0000  0.1954  0.2528 x8
O  0.0000  0.1962  0.7474 x8

The value obtained for the raw total energy is -7.19 eV/atom. The calculation puts the density of states at the Fermi level at 8.33 states/eV per cell.

***

8.
MoIrO6: optimized geometry, GGA+U.

Cell lengths 5.3461, 5.3538, 9.3018 Å; angles 90.00, 125.09, 90.00 degrees
Space group P2_1/c (No. 14)
Symmetry-distinct sites (fractional):
Mo  0.0000  0.0000  0.0000 x2
Ir  0.5000  0.0000  0.5000 x2
O  0.2060  0.2164  0.4874 x4
O  0.2718  0.7183  0.4875 x4
O  0.2763  0.0028  0.2514 x4

The value obtained for the raw total energy is -6.69 eV/atom. The calculation puts the density of states at the Fermi level at 9.18 states/eV per cell.

***

9.
MoP2IrO: optimized geometry, GGA+U.

Cell lengths 4.8417, 4.8417, 3.6743 Å; angles 90.00, 90.00, 90.00 degrees
Space group P4/mmm (No. 123)
Symmetry-distinct sites (fractional):
Mo  0.0000  0.0000  0.0000 x1
P  0.0000  0.5000  0.5000 x2
Ir  0.5000  0.5000  0.5000 x1
O  0.5000  0.5000  0.0000 x1

The value obtained for the raw total energy is -5.94 eV/atom. The calculation puts the density of states at the Fermi level at 3.02 states/eV per cell.

***

10.
MoP2IrO: optimized geometry, GGA+U.

Cell lengths 4.8303, 4.8303, 3.6736 Å; angles 90.00, 90.00, 90.00 degrees
Space group P4/mmm (No. 123)
Symmetry-distinct sites (fractional):
Mo  0.0000  0.0000  0.0000 x1
P  0.0000  0.5000  0.0000 x2
Ir  0.5000  0.5000  0.5000 x1
O  0.0000  0.0000  0.5000 x1

The value obtained for the raw total energy is -5.76 eV/atom. The calculation puts the density of states at the Fermi level at 3.55 states/eV per cell.

***

11.
MoIrPbO6: optimized geometry, GGA+U.

Cell lengths 4.7912, 4.7912, 9.9271 Å; angles 90.00, 90.00, 90.00 degrees
Space group P4_2nm (No. 102)
Symmetry-distinct sites (fractional):
Mo  0.0000  0.0000  0.0000 x2
Ir  0.0000  0.0000  0.6632 x2
Pb  0.0000  0.0000  0.3303 x2
O  0.1761  0.1761  0.8289 x4
O  0.1984  0.1984  0.5113 x4
O  0.2068  0.2068  0.1531 x4

The value obtained for the raw total energy is -6.58 eV/atom. The calculation puts the density of states at the Fermi level at 3.32 states/eV per cell.

***

12.
MoIrPb2O: optimized geometry, GGA+U.

Cell lengths 5.4689, 5.4689, 4.6634 Å; angles 90.00, 90.00, 90.00 degrees
Space group P4/mmm (No. 123)
Symmetry-distinct sites (fractional):
Mo  0.0000  0.0000  0.0000 x1
Ir  0.0000  0.0000  0.5000 x1
Pb  0.0000  0.5000  0.0000 x2
O  0.5000  0.5000  0.5000 x1

The value obtained for the raw total energy is -4.23 eV/atom. The calculation puts the density of states at the Fermi level at 6.78 states/eV per cell.